The following is a DFT calculation (GGA-PBE) of a relaxed structure of SrMgP3N5O2.

Unit cell a=7.0499 b=6.6467 c=14.1818 alpha=90.00 beta=118.96 gamma=90.00
Space group P2_1/c (No. 14)
Asymmetric unit:
Sr1 0.0128 0.2462 0.3880 x4
Mg1 0.4791 0.0059 0.1151 x4
P1 0.2265 0.2422 0.7090 x4
P2 0.2397 0.7233 0.9110 x4
P3 0.4387 0.5146 0.1194 x4
N1 0.0099 0.7012 0.8000 x4
N2 0.2356 0.5741 0.0008 x4
N3 0.3217 0.0256 0.6934 x4
N4 0.3947 0.2065 0.3370 x4
N5 0.4380 0.6910 0.8837 x4
O1 0.2145 0.0865 0.1306 x4
O2 0.2783 0.5512 0.4511 x4

**D(E_F)**: 0.000 states/eV/f.u.
**Formation energy from raw total energies**: -1366 meV per atom